Here is crystalline Th3Sc13 at its relaxed geometry from Alexandria. Energies are from PBE.

## Properties
- space group = Amm2

Cell lengths 6.604, 6.604, 9.457 Å; angles 90.00, 90.00, 90.94 degrees
Element x y z (fractional)
Sc 0.997 0.499 0.252
Sc 0.749 0.745 0.500
Sc 0.751 0.249 0.500
Sc 0.255 0.251 0.500
Sc 0.498 0.502 0.251
Sc 0.247 0.248 0.000
Sc 0.248 0.752 0.000
Sc 0.997 0.499 0.748
Sc 0.501 0.003 0.252
Sc 0.254 0.746 0.500
Sc 0.752 0.753 0.000
Sc 0.501 0.003 0.748
Sc 0.498 0.502 0.749
Th 0.004 0.996 0.746
Th 0.004 0.996 0.254
Th 0.742 0.258 0.000

=====

Here is crystalline Rb3SbI at its relaxed geometry from Alexandria. Energies are from PBE.

## Properties
- excess energy over the best structure of this formula in the dataset (meV/atom) = 246
- space group = Pm-3m
- E_form (uncorrected) (meV per atom) = -554

Cell lengths 6.962, 6.962, 6.962 Å; angles 90.00, 90.00, 90.00 degrees
Element x y z (fractional)
Rb 0.500 0.000 0.000
Rb 0.000 0.000 0.500
Rb 0.000 0.500 0.000
Sb 0.000 0.000 0.000
I 0.500 0.500 0.500

=====

Here is crystalline UPtS4 at its relaxed geometry from Alexandria. Energies are from PBE.

## Properties
- excess energy over the best structure of this formula in the dataset (meV/atom) = 0
- space group = P2/m
- E_form (uncorrected) (meV per atom) = -823

Cell lengths 3.798, 5.759, 6.537 Å; angles 94.68, 90.00, 90.00 degrees
Element x y z (fractional)
S 0.500 0.832 0.759
S 0.500 0.168 0.241
S 0.000 0.353 0.782
S 0.000 0.647 0.218
U 0.000 0.000 0.000
Pt 0.500 0.500 0.000

=====

Here is crystalline ErNiPb at its relaxed geometry from Alexandria. Energies are from PBE.

## Properties
- space group = P6_222

Cell lengths 6.492, 6.492, 11.439 Å; angles 90.00, 90.00, 120.00 degrees
Element x y z (fractional)
Pb 0.000 0.000 0.167
Pb 0.000 0.000 0.500
Pb 0.000 0.500 0.333
Pb 0.500 0.500 0.000
Pb 0.500 0.000 0.667
Pb 0.000 0.000 0.833
Ni 0.604 0.396 0.500
Ni 0.792 0.396 0.833
Ni 0.396 0.792 0.167
Ni 0.396 0.604 0.500
Ni 0.604 0.208 0.167
Ni 0.208 0.604 0.833
Er 0.500 0.000 0.946
Er 0.000 0.500 0.613
Er 0.500 0.500 0.279
Er 0.500 0.000 0.387
Er 0.500 0.500 0.721
Er 0.000 0.500 0.054

=====

Here is crystalline TbSmPa4 at its relaxed geometry from Alexandria. Energies are from PBE.

## Properties
- space group = F-43m

Cell lengths 6.166, 6.166, 6.166 Å; angles 60.00, 60.00, 60.00 degrees
Element x y z (fractional)
Pa 0.625 0.625 0.625
Pa 0.125 0.625 0.625
Pa 0.625 0.125 0.625
Pa 0.625 0.625 0.125
Sm 0.250 0.250 0.250
Tb 0.000 0.000 0.000

=====

Here is crystalline H3Pd9Au at its relaxed geometry from Alexandria. Energies are from PBE.

## Properties
- space group = P2_1

Cell lengths 6.409, 8.123, 6.388 Å; angles 90.00, 90.15, 90.00 degrees
Element x y z (fractional)
Pd 0.700 0.040 0.599
Pd 0.393 0.289 0.698
Pd 0.702 0.544 0.597
Pd 0.101 0.043 0.797
Pd 0.792 0.786 0.896
Pd 0.802 0.281 0.902
Pd 0.298 0.044 0.403
Pd 0.300 0.540 0.401
Pd 0.198 0.781 0.098
Pd 0.607 0.789 0.302
Pd 0.496 0.543 0.005
Pd 0.208 0.285 0.104
Pd 0.899 0.543 0.203
Pd 0.599 0.288 0.300
Pd 0.896 0.044 0.207
Pd 0.104 0.544 0.793
Pd 0.504 0.043 0.995
Pd 0.401 0.788 0.700
H 0.576 0.520 0.307
H 0.992 0.916 0.001
H 0.008 0.416 0.999
H 0.424 0.020 0.693
H 0.600 0.414 0.802
H 0.400 0.914 0.198
Au 0.002 0.792 0.501
Au 0.998 0.292 0.499

=====

Here is crystalline CeYAgAu at its relaxed geometry from Alexandria. Energies are from PBE.

## Properties
- excess energy over the best structure of this formula in the dataset (meV/atom) = 22
- space group = F-43m

Cell lengths 5.194, 5.194, 5.194 Å; angles 60.00, 60.00, 60.00 degrees
Element x y z (fractional)
Ag 0.250 0.250 0.250
Ce 0.000 0.000 0.000
Au 0.750 0.750 0.750
Y 0.500 0.500 0.500

=====

Here is crystalline TbPm2Sm5 at its relaxed geometry from Alexandria. Energies are from PBE.

## Properties
- excess energy over the best structure of this formula in the dataset (meV/atom) = 0
- space group = Pbam

Cell lengths 5.114, 7.258, 14.520 Å; angles 90.00, 90.00, 90.00 degrees
Element x y z (fractional)
Pm 0.500 0.250 0.625
Pm 0.500 0.250 0.125
Pm 0.500 0.750 0.875
Pm 0.500 0.750 0.375
Sm 0.500 0.750 0.625
Sm 0.500 0.250 0.875
Sm 0.000 0.001 0.251
Sm 0.000 0.000 0.000
Sm 0.000 0.499 0.751
Sm 0.000 0.501 0.249
Sm 0.000 0.999 0.749
Sm 0.500 0.750 0.125
Sm 0.500 0.250 0.375
Sm 0.000 0.500 0.500
Tb 0.000 0.000 0.500
Tb 0.000 0.500 0.000

=====

The evaluated volume for the records listed, in turn: 25.8; 67.5; 23.8; 23.2; 27.6; 12.8; 24.8; 33.7 A^3/atom.
The evaluated E for the records listed, in turn: -0.478; -0.167; -0.475; -0.358; -0.562; -0.344; -0.373; -0.346 Ry/atom.